Entry from the Alexandria database: an optimized crystal structure of DyUTe3 (PBE).

## Properties
energy relative to the elements, uncorrected	-0.936	eV/atom
calculated volume	36.0	Å³/atom

Geometry as CIF:
```
data_DyUTe3
_cell_length_a 4.3276
_cell_length_b 4.3276
_cell_length_c 22.2072
_cell_angle_alpha 90.00
_cell_angle_beta 90.00
_cell_angle_gamma 120.00
_space_group_name_H-M_alt 'P 63 m c'
_space_group_IT_number 186
_space_group_name_Hall 'P 6c -2c'
loop_
_atom_site_label
_atom_site_fract_x
_atom_site_fract_y
_atom_site_fract_z
_atom_site_occupancy
Dy1 0.3333 0.6667 0.0000 1
U1 0.0000 0.0000 0.1776 1
Te1 0.0000 0.0000 0.4267 1
Te2 0.3333 0.6667 0.2563 1
Te3 0.3333 0.6667 0.5899 1
```

=====

Entry from the Alexandria database: an optimized crystal structure of CaBe2Ni (PBE).

## Properties
DFT formation energy	58	kJ per mole of atoms
calculated volume	14.1	Å³/atom
energy above the most stable polymorph in this dataset	0.7553	eV per atom

Geometry as CIF:
```
data_CaBe2Ni
_cell_length_a 5.2010
_cell_length_b 7.7157
_cell_length_c 2.8077
_cell_angle_alpha 90.00
_cell_angle_beta 90.15
_cell_angle_gamma 90.00
_space_group_name_H-M_alt 'C 1 2/m 1'
_space_group_IT_number 12
loop_
_space_group_symop_operation_xyz
'x,y,z'
'-x,-y,-z'
'-x,y,-z'
'x,-y,z'
'x+1/2,y+1/2,z'
'-x+1/2,-y+1/2,-z'
'-x+1/2,y+1/2,-z'
'x+1/2,-y+1/2,z'
loop_
_atom_site_label
_atom_site_fract_x
_atom_site_fract_y
_atom_site_fract_z
_atom_site_occupancy
Ca1 0.0000 0.0000 0.0000 1
Be1 0.2500 0.2500 0.5000 1
Ni1 0.0000 0.5000 0.0000 1
```

=====

Entry from the Alexandria database: an optimized crystal structure of MnBPbSe4 (PBE).

## Properties
energy relative to the elements, uncorrected	-0.215	eV/atom
calculated volume	22.8	Å³/atom

Geometry as CIF:
```
data_MnBPbSe4
_cell_length_a 6.3186
_cell_length_b 6.6431
_cell_length_c 7.9699
_cell_angle_alpha 90.00
_cell_angle_beta 107.61
_cell_angle_gamma 90.00
_space_group_name_H-M_alt 'P 1 21/m 1'
_space_group_IT_number 11
loop_
_space_group_symop_operation_xyz
'x,y,z'
'-x,-y,-z'
'-x,y+1/2,-z'
'x,-y+1/2,z'
loop_
_atom_site_label
_atom_site_fract_x
_atom_site_fract_y
_atom_site_fract_z
_atom_site_occupancy
Mn1 0.2342 0.2500 0.0631 1
B1 0.2224 0.7500 0.8222 1
Pb1 0.2426 0.2500 0.5615 1
Se1 0.0079 0.5081 0.7852 1
Se2 0.4269 0.7500 0.6617 1
Se3 0.4571 0.7500 0.0645 1
```

=====

Question: Which of these has the highest calculated volume?
Answer: DyUTe3

=====

Question: What is the formula in the third record?
Answer: MnBPbSe4

=====

Question: The highest calculated volume belongs to which entry?
Answer: DyUTe3

=====

Please write out number 3 again, unchanged.
Entry from the Alexandria database: an optimized crystal structure of MnBPbSe4 (PBE).

## Properties
energy relative to the elements, uncorrected	-0.215	eV/atom
calculated volume	22.8	Å³/atom

Geometry as CIF:
```
data_MnBPbSe4
_cell_length_a 6.3186
_cell_length_b 6.6431
_cell_length_c 7.9699
_cell_angle_alpha 90.00
_cell_angle_beta 107.61
_cell_angle_gamma 90.00
_space_group_name_H-M_alt 'P 1 21/m 1'
_space_group_IT_number 11
loop_
_space_group_symop_operation_xyz
'x,y,z'
'-x,-y,-z'
'-x,y+1/2,-z'
'x,-y+1/2,z'
loop_
_atom_site_label
_atom_site_fract_x
_atom_site_fract_y
_atom_site_fract_z
_atom_site_occupancy
Mn1 0.2342 0.2500 0.0631 1
B1 0.2224 0.7500 0.8222 1
Pb1 0.2426 0.2500 0.5615 1
Se1 0.0079 0.5081 0.7852 1
Se2 0.4269 0.7500 0.6617 1
Se3 0.4571 0.7500 0.0645 1
```